A plane-wave DFT calculation with meta-GGA SCAN was carried out for Zn2CrIr at its PBEsol-relaxed geometry.

Cell lengths 2.6945, 4.3594, 4.6305 Å; angles 90.00, 94.88, 90.00 degrees
Closest atoms and distances in Å follow each position.
Positions (direct):
Zn 0.2302 0.0000 0.2489  5 Zn 2.52-2.73, 2 Ir 2.57, 2 Cr 2.60
Zn 0.7698 0.0000 0.7511  5 Zn 2.52-2.73, 2 Ir 2.57, 2 Cr 2.60
Cr 0.5000 0.5000 0.0000  4 Ir 2.58-2.78, 4 Zn 2.60, 2 Cr 2.69
Ir 0.0000 0.5000 0.5000  4 Zn 2.57, 4 Cr 2.58-2.78, 2 Ir 2.69

The calculated volume comes out at 13.549 Å³/atom. For the formation energy, the calculation gives -25 kJ/mol of formula units. The calculation puts the total magnetization at 3.096 μB per cell. As for the space group: No. 10. The crystal system is monoclinic.